A plane-wave DFT calculation with GGA-PBEsol was carried out for a relaxed Ni3Te4 crystal.

a = 6.4911 Å, b = 6.4911 Å, c = 6.6639 Å
α = 120.84°, β = 120.84°, γ = 35.29°
Fractional coordinates of all 7 atoms:
Ni 0.0000 0.0000 0.0000
Ni 0.2527 0.2527 0.2420
Ni 0.7473 0.7473 0.7580
Te 0.1224 0.1224 0.7796
Te 0.3710 0.3710 0.7056
Te 0.6290 0.6290 0.2944
Te 0.8776 0.8776 0.2204

density of states at the Fermi level = 3.7 states/eV/cell
E_form (uncorrected) = -1.737 eV per formula unit